ZrVRuRh | Alexandria via LeMat-Bulk | GGA-PBE | optimized geometry; SG = F-43m, No. 216; M_tot = 1.7 μB/cell; N(E_F) = 5.85 states/eV per cell; crystal system = cubic
1.0
4.4857 0.0000 0.0000
2.2429 3.8848 0.0000
2.2429 1.2949 3.6626
Zr V Rh Ru
1 1 1 1
Cartesian
4.4857 2.5898 1.8313
0.0000 0.0000 0.0000
2.2429 1.2949 0.9156
6.7286 3.8848 2.7469

Ru3RhW | Alexandria via LeMat-Bulk | GGA-PBE | optimized geometry; SG = Pm-3m, No. 221; relative energy among the computed polymorphs = 382 meV per atom; M_tot = 3.4 μB/cell; N(E_F) = 6.71 states/eV per cell; crystal system = cubic
1.0
-0.9464 -4.5305 0.2823
3.6419 -0.9300 -2.7154
2.7097 -0.3325 3.7481
Ru Rh W
3 1 1
Cartesian
-0.4732 -2.2653 0.1412
1.3548 -0.1662 1.8741
1.8209 -0.4650 -1.3577
2.7026 -2.8965 0.6576
0.0000 0.0000 0.0000

Ru4RhW | Alexandria via LeMat-Bulk | GGA-PBE | optimized geometry; SG = Cmcm, No. 63; relative energy among the computed polymorphs = 0 meV per atom; M_tot = 0.0 μB/cell; N(E_F) = 13.37 states/eV per cell; crystal system = orthorhombic
1.0
4.3039 -0.0930 0.0303
0.0974 5.1082 1.8518
-0.0556 0.0138 7.9497
Ru Rh W
8 2 2
Cartesian
3.2540 3.9759 8.7597
1.0917 1.0531 1.0722
3.2058 1.4550 7.8466
3.2402 2.2874 5.5164
1.1399 3.5739 1.9853
1.0570 0.2038 3.3972
1.1054 2.7416 4.3154
3.2886 4.8252 6.4346
3.2501 1.8388 2.7308
1.0955 3.1901 7.1011
1.0455 0.6049 6.2654
3.3002 4.4241 3.5664

Ru3RhW | Alexandria via LeMat-Bulk | GGA-PBE | optimized geometry; SG = Pm-3m, No. 221; relative energy among the computed polymorphs = 823 meV per atom; M_tot = 0.0 μB/cell; N(E_F) = 12.30 states/eV per cell; crystal system = cubic
1.0
-0.8813 1.4526 4.2283
2.8771 -3.1145 1.6697
3.4221 2.9926 -0.3148
W Ru Rh
1 3 1
Cartesian
2.7090 0.6654 2.7916
-0.4406 0.7263 2.1142
1.7111 1.4963 -0.1574
1.4386 -1.5572 0.8348
0.0000 0.0000 0.0000

Ru3Rh2W2 | Alexandria via LeMat-Bulk | GGA-PBE | optimized geometry; SG = Cmmm, No. 65; M_tot = 0.0 μB/cell; N(E_F) = 6.45 states/eV per cell; crystal system = orthorhombic
1.0
3.8670 0.0000 -0.6538
0.0000 2.7307 0.0000
-0.3208 0.0000 9.8656
W Ru Rh
2 3 2
Cartesian
3.0834 0.0000 6.4747
0.4628 0.0000 2.7371
2.1508 1.3654 0.9586
1.3954 1.3654 8.2532
0.0000 0.0000 0.0000
0.9456 1.3654 5.5933
2.6006 1.3654 3.6186

Ru3RhW | Alexandria via LeMat-Bulk | GGA-PBE | optimized geometry; SG = R-3m, No. 166; relative energy among the computed polymorphs = 0 meV per atom; M_tot = 1.6 μB/cell; N(E_F) = 8.85 states/eV per cell; crystal system = trigonal
1.0
-4.9208 -1.3221 -1.1172
-1.4454 -5.0107 0.1181
-3.1522 -1.7178 3.7390
Ru Rh W
3 1 1
Cartesian
-7.2969 -4.6568 1.1167
-5.5591 -6.5011 1.7344
-8.0196 -7.1622 1.1758
-6.4435 -6.3032 -0.6935
-4.8365 -3.9958 1.6753

The records above give, respectively, uncorrected energy values of -35.72 -39.14 -113.26 -36.94 -68.04 -41.05 eV per cell.